First-principles (PBE-GGA) data for an optimized crystal structure of LaSm5Y5, as listed in the Alexandria database.

a = 6.1531 Å, b = 6.1531 Å, c = 11.8652 Å
α = 90.00°, β = 90.00°, γ = 120.00°
Atoms (fractional coordinates):
La: 0.0000 0.0000 0.0000
Sm: 0.0000 0.0000 0.3228
Sm: 0.0000 0.0000 0.6772
Sm: 0.3333 0.6667 0.1558
Sm: 0.3333 0.6667 0.8442
Sm: 0.6667 0.3333 0.0000
Y: 0.9997 0.4999 0.5000
Y: 0.5001 0.0003 0.5000
Y: 0.5001 0.4999 0.5000
Y: 0.6667 0.3333 0.2626
Y: 0.6667 0.3333 0.7374

Summary:
As for the space group: P-6m2 (187). As for the energy: -5.2155 eV/atom. As for the energy above the most stable polymorph in this dataset: 0.026 eV/atom. The value obtained for the formation energy is 0.3158 eV per atom.


First-principles (PBE-GGA) data for an optimized crystal structure of KHgCl2, as listed in the Alexandria database.

a = 3.8160 Å, b = 3.8160 Å, c = 7.3297 Å
α = 90.00°, β = 90.00°, γ = 90.00°
Atoms (fractional coordinates):
K: 0.0000 0.0000 0.0000
Hg: 0.0000 0.0000 0.5000
Cl: 0.5000 0.5000 0.2589
Cl: 0.5000 0.5000 0.7411

Summary:
As for the space group: P4/mmm (123). As for the energy: -2.2089 eV/atom. The calculation puts the formation energy (no corrections) at -90.3 kJ per mole of atoms. As for the energy above the most stable polymorph in this dataset: 0.152 eV/atom.


First-principles (PBE-GGA) data for an optimized crystal structure of K2Nd2SbS6, as listed in the Alexandria database.

a = 7.0614 Å, b = 7.0614 Å, c = 7.9181 Å
α = 98.57°, β = 98.57°, γ = 119.49°
Atoms (fractional coordinates):
K: 0.1680 0.8320 0.0000
K: 0.8320 0.1680 0.0000
Nd: 0.3335 0.6665 0.5000
Nd: 0.6665 0.3335 0.5000
Sb: 0.0000 0.0000 0.5000
S: 0.0642 0.3813 0.6978
S: 0.2439 0.2439 0.3031
S: 0.3813 0.0642 0.6978
S: 0.6187 0.9358 0.3022
S: 0.7561 0.7561 0.6969
S: 0.9358 0.6187 0.3022

Summary:
As for the space group: C2/m (12). As for the energy: -5.0370 eV/atom. The calculation puts the formation energy (no corrections) at -129.7 kJ per mole of atoms.


First-principles (PBE-GGA) data for an optimized crystal structure of LaTiAl, as listed in the Alexandria database.

a = 3.3459 Å, b = 4.2865 Å, c = 5.3707 Å
α = 90.00°, β = 90.00°, γ = 90.00°
Atoms (fractional coordinates):
La: 0.0000 0.0000 0.0000
Ti: 0.5000 0.0000 0.5000
Al: 0.0000 0.5000 0.5000

Summary:
As for the space group: Pmmm (47). As for the energy: -5.3952 eV/atom. As for the energy above the most stable polymorph in this dataset: 0.182 eV/atom. The value obtained for the formation energy is 0.1264 eV per atom.


| no. | D(E_F) (states/eV/atom) |
| --- | --- |
| 1 | 2.112 |
| 2 | 0.789 |
| 3 | 0.503 |
| 4 | 0.826 |